1.
Below is an optimized crystal structure of AcDy7Ho2, with properties calculated at the PBE level.

Values from the calculation:
offset from the most stable computed form = 624 meV per atom
energy = -38.689 eV/cell
formation enthalpy at 0 K = 0.68 eV per atom

abc: 9.0736 9.0736 5.7401
angles: 90.00 90.00 121.98
Fractional positions:
Ac 0.0000 0.0000 0.0000
Dy 0.0579 0.2980 0.5000
Dy 0.2296 0.7704 0.0000
Dy 0.2980 0.0579 0.5000
Dy 0.5000 0.5000 0.5000
Dy 0.7020 0.9421 0.5000
Dy 0.7704 0.2296 0.0000
Dy 0.9421 0.7020 0.5000
Ho 0.2974 0.7026 0.5000
Ho 0.7026 0.2974 0.5000

=====

2.
Below is an optimized crystal structure of HoPuFeOs, with properties calculated at the PBE level.

Values from the calculation:
energy = -38.786 eV/cell
formation enthalpy at 0 K = -0.05 eV per atom

abc: 4.7713 4.7713 4.7713
angles: 60.00 60.00 60.00
Fractional positions:
Ho 0.0000 0.0000 0.0000
Pu 0.5000 0.5000 0.5000
Fe 0.2500 0.2500 0.2500
Os 0.7500 0.7500 0.7500

=====

3.
Below is an optimized crystal structure of Al3SF, with properties calculated at the PBE level.

Values from the calculation:
offset from the most stable computed form = 0 meV per atom
energy = -17.641 eV/cell

abc: 4.6308 4.6308 4.6308
angles: 90.00 90.00 90.00
Fractional positions:
Al 0.0000 0.0000 0.5000
Al 0.0000 0.5000 0.0000
Al 0.5000 0.0000 0.0000
S 0.5000 0.5000 0.5000
F 0.0000 0.0000 0.0000

=====

4.
Below is an optimized crystal structure of Cs2KRb4Hg2, with properties calculated at the PBE level.

Values from the calculation:
energy = -8.111 eV/cell
formation enthalpy at 0 K = -0.09 eV per atom

abc: 7.7474 8.1995 10.4473
angles: 97.40 97.02 107.58
Fractional positions:
Cs 0.2036 0.3940 0.3909
Cs 0.7964 0.6060 0.6091
K 0.0000 0.0000 0.0000
Rb 0.2477 0.5165 0.8828
Rb 0.4461 0.0404 0.7095
Rb 0.5539 0.9596 0.2905
Rb 0.7523 0.4835 0.1172
Hg 0.0478 0.8953 0.3765
Hg 0.9522 0.1047 0.6235

=====

Number 1: total moment 0.00 μB per formula unit. Number 2: total moment 2.56 μB per formula unit. Number 3: total moment 0.00 μB per formula unit. Number 4: total moment 0.00 μB per formula unit.